# 1
VASP calculation (PBE-GGA) on a relaxed TaAs2CSe crystal.

DOS(E_F) ... 1.290 states/eV per atom
Space group ... No. 123
V ... 124.3 Å³ per cell
Uncorrected formation energy ... 1.528 eV per atom

Cell: 5.021 5.021 4.932 Å, 90.00 90.00 90.00°
Fractional positions:
Ta 0.000 0.000 0.000
As 0.000 0.500 0.000
As 0.500 0.000 0.000
C 0.500 0.500 0.500
Se 0.000 0.000 0.500



# 2
VASP calculation (PBE-GGA) on a relaxed Ca3BBr crystal.

DOS(E_F) ... 0.184 states/eV per atom
Space group ... No. 221
V ... 150.5 Å³ per cell
Uncorrected formation energy ... -0.273 eV per atom

Cell: 5.320 5.320 5.320 Å, 90.00 90.00 90.00°
Fractional positions:
Ca 0.000 0.000 0.500
Ca 0.000 0.500 0.000
Ca 0.500 0.000 0.000
B 0.000 0.000 0.000
Br 0.500 0.500 0.500



# 3
VASP calculation (PBE-GGA) on a relaxed Ac4CoI2N crystal.

DOS(E_F) ... 0.593 states/eV per atom
Space group ... No. 10
V ... 253.0 Å³ per cell
Uncorrected formation energy ... -0.810 eV per atom

Cell: 7.334 4.049 8.896 Å, 90.00 106.70 90.00°
Fractional positions:
Ac 0.203 0.000 0.177
Ac 0.270 0.500 0.823
Ac 0.730 0.500 0.177
Ac 0.797 0.000 0.823
Co 0.500 0.000 0.000
I 0.000 0.000 0.500
I 0.500 0.500 0.500
N 0.000 0.500 0.000



# 4
VASP calculation (PBE-GGA) on a relaxed Te2PtPb crystal.

DOS(E_F) ... 0.298 states/eV per atom
Space group ... No. 99
V ... 110.8 Å³ per cell
Uncorrected formation energy ... -0.001 eV per atom

Cell: 3.394 3.394 9.613 Å, 90.00 90.00 90.00°
Fractional positions:
Te 0.000 0.000 0.000
Te 0.500 0.500 0.345
Pt 0.500 0.500 0.861
Pb 0.000 0.000 0.642